This record from Alexandria via LeMat-Bulk describes a relaxed RbHfH3 crystal. The functional is GGA-PBE.

The value obtained for the magnetization is 0.33 μB per formula unit. The value obtained for the relative energy among the computed polymorphs is 1.303 eV/atom. The calculation puts the density at 5.24 g/cm³. The electronic total energy comes out at -2.78 eV per atom.

The space group is Pm-3m (No. 221) and the conventional cell measures 4.391, 4.391 and 4.391 Å, with angles of 90.00, 90.00 and 90.00 degrees. The inequivalent atoms are Rb at (0.000, 0.000, 0.000), Hf at (0.500, 0.500, 0.500) and H at (0.000, 0.000, 0.500).